Record 1
An optimized crystal structure of Tb2NdErTh, computed with PBE.

```
Tb2NdErTh
1.0
6.4140 0.0000 0.0000
0.0000 8.5392 0.8632
0.0000 -1.5855 6.1337
Tb Nd Th Er
4 2 2 2
direct
0.3133 0.6846 0.2962
0.6867 0.6846 0.7962
0.3133 0.3154 0.2038
0.6867 0.3154 0.7038
0.0000 0.0000 0.0000
0.0000 0.0000 0.5000
0.4517 0.0000 0.7500
0.5483 0.0000 0.2500
0.1733 0.5000 0.7500
0.8267 0.5000 0.2500
```

## Properties
N(E_F)   1.35 states/eV/atom
Formation energy from the elements   1.7 eV per formula unit
M_tot   0.0001 μB/atom

Record 2
An optimized crystal structure of Mg3AgCl, computed with PBE.

```
Mg3AgCl
1.0
-5.1200 -0.9017 0.0203
0.5166 -2.8361 4.3263
-0.7393 4.2627 2.8827
Mg Cl Ag
3 1 1
direct
0.0000 0.5000 0.0000
0.5000 0.0000 0.0000
0.0000 0.0000 0.5000
0.5000 0.5000 0.5000
0.0000 0.0000 0.0000
```

## Properties
N(E_F)   0.34 states/eV/atom
ΔE_f (raw)   -137 meV per atom
M_tot   0.0000 μB/atom

Record 3
An optimized crystal structure of PmIn3Rh2, computed with PBE.

```
PmIn3Rh2
1.0
4.5461 0.0000 0.0000
-2.2730 8.7364 -3.3518
0.0000 -0.9643 10.0306
In Pm Rh
9 3 6
direct
0.5000 0.0000 0.5000
0.3784 0.7567 0.8371
0.2107 0.4215 0.3746
0.7893 0.5785 0.6254
0.6216 0.2433 0.1629
0.9726 0.9451 0.6655
0.6870 0.3739 0.9296
0.3130 0.6261 0.0704
0.0274 0.0549 0.3345
0.1700 0.3399 0.6798
0.8300 0.6601 0.3202
0.0000 0.0000 0.0000
0.1672 0.3345 0.0628
0.8328 0.6655 0.9372
0.3698 0.7396 0.5588
0.5309 0.0618 0.8306
0.6302 0.2604 0.4412
0.4691 0.9382 0.1694
```

## Properties
N(E_F)   0.45 states/eV/atom
Formation energy from the elements   -2.7 eV per formula unit
M_tot   0.0000 μB/atom

Record 4
An optimized crystal structure of LuAgPt, computed with PBE.

```
LuAgPt
1.0
3.2929 0.0000 0.0000
0.0000 3.2929 0.0000
-1.6465 -1.6465 7.0623
Pt Ag Lu
1 1 1
direct
0.8153 0.8153 0.6307
0.6191 0.6191 0.2381
0.4156 0.4156 0.8312
```

## Properties
N(E_F)   0.27 states/eV/atom
Formation energy from the elements   -0.7 eV per formula unit
M_tot   0.0000 μB/atom

Record 5
An optimized crystal structure of Li2LuPb, computed with PBE.

```
Li2LuPb
1.0
-2.5014 -1.9887 3.6188
-3.0743 -1.2844 -2.8309
2.1288 -3.7712 -0.6009
Lu Pb Li
1 1 2
direct
0.5000 0.5000 0.5000
0.5000 0.0000 0.0000
0.0000 0.0000 0.5000
0.0000 0.5000 0.0000
```

## Properties
N(E_F)   0.48 states/eV/atom
Formation energy from the elements   -0.9 eV per formula unit
M_tot   0.0000 μB/atom

Record 6
An optimized crystal structure of Sm2BeCu12Ni3, computed with PBE.

```
Sm2BeCu12Ni3
1.0
-1.0793 -4.2847 -8.1122
0.3706 -8.3818 -3.8652
-5.3131 -6.2631 -4.2281
Cu Sm Ni Be
12 2 3 1
direct
0.9318 0.3435 0.9318
0.0682 0.0682 0.6565
0.8115 0.4175 0.4175
0.0682 0.6565 0.0682
0.1885 0.5825 0.5825
0.4175 0.8115 0.4175
0.9318 0.9318 0.3435
0.6565 0.0682 0.0682
0.3435 0.9318 0.9318
0.5825 0.5825 0.1885
0.4175 0.4175 0.8115
0.5825 0.1885 0.5825
0.6506 0.6506 0.6506
0.3494 0.3494 0.3494
0.5000 0.0000 0.0000
0.0000 0.5000 0.0000
0.0000 0.0000 0.5000
0.0000 0.0000 0.0000
```

## Properties
N(E_F)   0.57 states/eV/atom
Formation energy from the elements   4.3 eV per formula unit
M_tot   0.0000 μB/atom

Record 7
An optimized crystal structure of SiPF, computed with PBE.

```
SiPF
1.0
3.5353 0.0000 0.0000
-1.7676 3.0616 0.0000
0.0000 0.0000 5.8307
Si P F
1 1 1
direct
0.3333 0.6667 0.1160
0.0000 0.0000 0.9507
0.3333 0.6667 0.3941
```

## Properties
N(E_F)   0.00 states/eV/atom
ΔE_f (raw)   -1337 meV per atom
M_tot   0.0000 μB/atom

Record 8
An optimized crystal structure of Dy4TlSbH, computed with PBE.

```
Dy4TlSbH
1.0
6.3998 0.0000 0.0000
0.0000 6.4155 0.0000
-3.1999 0.0000 8.3949
Dy H Tl Sb
8 2 2 2
direct
0.5736 0.2500 0.1471
0.9284 0.2500 0.8569
0.0716 0.7500 0.1431
0.5000 0.0000 0.5000
0.5000 0.5000 0.5000
0.0000 0.5000 0.5000
0.0000 0.0000 0.5000
0.4264 0.7500 0.8529
0.7090 0.2500 0.4181
0.2910 0.7500 0.5819
0.8876 0.7500 0.7753
0.1124 0.2500 0.2247
0.3878 0.2500 0.7756
0.6122 0.7500 0.2244
```

## Properties
N(E_F)   0.83 states/eV/atom
VASP energy   -64.58 eV/cell
M_tot   0.0000 μB/atom

Record 9
An optimized crystal structure of KGeF5, computed with PBE.

```
KGeF5
1.0
5.6857 -0.5966 1.6863
1.7565 5.4404 1.6863
0.2135 0.1390 7.7213
F Ge K
10 2 2
direct
0.7699 0.8273 0.0994
0.0476 0.9524 0.2500
0.8273 0.7699 0.5994
0.7768 0.2695 0.0208
0.9524 0.0476 0.7500
0.1727 0.2301 0.4006
0.2695 0.7768 0.5208
0.7305 0.2232 0.4792
0.2301 0.1727 0.9006
0.2232 0.7305 0.9792
0.0000 0.0000 0.5000
0.0000 0.0000 0.0000
0.4702 0.5298 0.2500
0.5298 0.4702 0.7500
```

## Properties
N(E_F)   0.00 states/eV/atom
ΔE_f (raw)   -2629 meV per atom
M_tot   0.0000 μB/atom

Record 10
An optimized crystal structure of Tm3SN2, computed with PBE.

```
Tm3SN2
1.0
-0.7112 -2.3540 2.6171
3.1716 -1.5867 -0.5648
1.9493 6.5514 3.9583
Tm S N
3 1 2
direct
0.6119 0.6130 0.2291
0.9341 0.9359 0.8739
0.2568 0.2579 0.5188
0.4341 0.4359 0.8740
0.1035 0.1049 0.2124
0.7650 0.7665 0.5355
```

## Properties
N(E_F)   0.16 states/eV/atom
ΔE_f (raw)   -1713 meV per atom
M_tot   0.0000 μB/atom

Record 11
An optimized crystal structure of POs2Br, computed with PBE.

```
POs2Br
1.0
4.9995 -0.0204 0.1047
4.1614 2.7710 0.1047
0.5838 0.1753 6.1330
Os P Br
2 1 1
direct
0.7868 0.7868 0.8276
0.0526 0.0526 0.8692
0.4610 0.4610 0.6176
0.1996 0.1996 0.1856
```

## Properties
N(E_F)   0.89 states/eV/atom
ΔE_f (raw)   720 meV per atom
M_tot   0.0000 μB/atom

Record 12
An optimized crystal structure of AcWN3, computed with PBE.

```
AcWN3
1.0
4.0634 0.0000 0.0000
0.0000 4.0634 0.0000
0.0000 0.0000 4.0634
N Ac W
3 1 1
direct
0.0000 0.0000 0.5000
0.5000 0.0000 0.0000
0.0000 0.5000 0.0000
0.5000 0.5000 0.5000
0.0000 0.0000 0.0000
```

## Properties
N(E_F)   0.17 states/eV/atom
ΔE_f (raw)   -956 meV per atom
M_tot   0.0000 μB/atom

Record 13
An optimized crystal structure of CaHg2Rh, computed with PBE.

```
CaHg2Rh
1.0
4.7011 0.0000 0.0000
-2.3506 4.0713 0.0000
0.0000 0.0000 5.4371
Hg Rh Ca
2 1 1
direct
0.0000 0.0000 0.9120
0.3333 0.6667 0.5657
0.0000 0.0000 0.4175
0.6667 0.3333 0.2371
```

## Properties
N(E_F)   0.58 states/eV/atom
Formation energy from the elements   -1.0 eV per formula unit
M_tot   0.0000 μB/atom

Record 14
An optimized crystal structure of Ca4TbEr3Te8, computed with PBE.

```
Ca4TbEr3Te8
1.0
-0.6751 -6.3954 5.9496
-5.3544 -4.5175 -5.4636
7.8953 2.5461 -2.8176
Er Te Ca Tb
3 8 4 1
direct
0.0000 0.5000 0.5000
0.5000 0.5000 0.5000
0.5000 0.5000 0.0000
0.2490 0.7436 0.9946
0.2491 0.7436 0.4982
0.7509 0.2564 0.5018
0.7473 0.7420 0.4946
0.2527 0.2580 0.5054
0.2544 0.2564 0.0054
0.7456 0.7436 0.9946
0.7510 0.2564 0.0054
0.0000 0.0000 0.5000
0.0000 0.0000 0.0000
0.5000 0.0000 0.5000
0.5000 0.0000 0.0000
0.0000 0.5000 0.0000
```

## Properties
N(E_F)   0.37 states/eV/atom
ΔE_f (raw)   -1434 meV per atom
M_tot   0.0000 μB/atom

Record 15
An optimized crystal structure of Ca2TbZn, computed with PBE.

```
Ca2TbZn
1.0
-0.3107 -1.8986 -3.0463
-0.1307 -3.5984 0.1254
-11.6945 -1.3818 -0.0768
Zn Tb Ca
1 1 2
direct
0.5000 0.5000 0.5000
0.0000 0.0000 0.0000
0.8995 0.8995 0.3015
0.1005 0.1005 0.6985
```

## Properties
N(E_F)   1.40 states/eV/atom
Formation energy from the elements   0.8 eV per formula unit
M_tot   0.1199 μB/atom

Record 16
An optimized crystal structure of La3URu3, computed with PBE.

```
La3URu3
1.0
-1.8095 1.9914 2.9522
-6.0777 -2.6376 0.7564
4.3389 -7.9194 10.7036
La Ru U
6 6 2
direct
0.4043 0.2603 0.9312
0.4902 0.3899 0.6297
0.2639 0.2726 0.1996
0.5957 0.7397 0.0688
0.7361 0.7274 0.8004
0.5098 0.6101 0.3703
0.8673 0.7329 0.5325
0.8826 0.1640 0.0709
0.1174 0.8360 0.9291
0.1327 0.2671 0.4675
0.0721 0.1058 0.7500
0.9279 0.8942 0.2500
0.2257 0.9441 0.6046
0.7743 0.0559 0.3954
```

## Properties
N(E_F)   0.92 states/eV/atom
Formation energy from the elements   -1.9 eV per formula unit
M_tot   0.0000 μB/atom

Record 17
An optimized crystal structure of SrTlIr2, computed with PBE.

```
SrTlIr2
1.0
3.5146 0.0000 0.0000
0.0000 3.5146 0.0000
0.0000 0.0000 7.5781
Ir Tl Sr
2 1 1
direct
0.5000 0.5000 0.1679
0.0000 0.0000 0.0693
0.5000 0.5000 0.8002
0.0000 0.0000 0.4626
```

## Properties
N(E_F)   1.00 states/eV/atom
Formation energy from the elements   0.8 eV per formula unit
M_tot   0.0000 μB/atom

Record 18
An optimized crystal structure of Na3YTh2Se6, computed with PBE.

```
Na3YTh2Se6
1.0
7.2000 -0.0021 0.0005
-3.6001 6.2354 0.0005
-1.2003 -2.0783 7.1559
Na Se Th Y
3 6 2 1
direct
0.1673 0.8327 0.5000
0.8327 0.1673 0.5000
0.5000 0.5000 0.5000
0.7510 0.7510 0.2397
0.9200 0.5910 0.7601
0.5910 0.9200 0.7601
0.2490 0.2490 0.7603
0.4090 0.0800 0.2399
0.0800 0.4090 0.2399
0.3334 0.6666 0.0000
0.6666 0.3334 0.0000
0.0000 0.0000 0.0000
```

## Properties
N(E_F)   0.53 states/eV/atom
ΔE_f (raw)   -1549 meV per atom
M_tot   0.0000 μB/atom

Record 19
An optimized crystal structure of PmZn2Co2P, computed with PBE.

```
PmZn2Co2P
1.0
-1.3201 1.8494 -3.5452
-3.6518 0.9633 1.8623
2.1685 4.8700 1.7330
Co P Zn Pm
2 1 2 1
direct
0.5000 0.0000 0.0000
0.0000 0.5000 0.0000
0.0000 0.0000 0.0000
0.5000 0.5000 0.2683
0.5000 0.5000 0.7317
0.0000 0.0000 0.5000
```

## Properties
N(E_F)   0.69 states/eV/atom
Formation energy from the elements   -2.4 eV per formula unit
M_tot   0.2655 μB/atom